Material: Ru3PbO
Method: DFT, PBE
State: optimized geometry

Geometry as CIF:
```
data_Ru3PbO
_chemical_formula_sum 'Ru3 Pb1 O1'
_space_group_name_H-M_alt 'P m -3 m'
_space_group_IT_number 221
_space_group_name_Hall '-P 4 2 3'
_cell_length_a 5.069
_cell_length_b 5.069
_cell_length_c 5.069
_cell_angle_alpha 90.00
_cell_angle_beta 90.00
_cell_angle_gamma 90.00
loop_
_atom_site_label
_atom_site_fract_x
_atom_site_fract_y
_atom_site_fract_z
Ru1 0.000 0.000 0.500
Pb1 0.000 0.000 0.000
O1 0.500 0.500 0.500
```

Summary:
Raw formation energy, eV/atom: 2.669
Polymorph energy (0 for the lowest one), kJ per mole of atoms: 218.1
Mass density, g/cm³: 6.71
Size of the total moment, μB per cell: 7.26